# 1
The following is a DFT calculation (GGA-PBE) of a relaxed structure of MgGaN2.

uncorrected formation energy: 0.2582 eV/atom
relative energy among the computed polymorphs: 0.0000 eV/atom
uncorrected energy: -20.24 eV/cell

Cell lengths 6.097, 6.097, 6.097 Å; angles 31.63, 31.63, 31.63 degrees
Fractional coordinates of all 4 atoms:
1 Mg 0.000 0.000 0.000
2 Ga 0.500 0.500 0.500
3 N 0.399 0.399 0.399
4 N 0.601 0.601 0.601

---

# 2
The following is a DFT calculation (GGA-PBE) of a relaxed structure of Pm4Dy2Er3.

relative energy among the computed polymorphs: 0.0131 eV/atom
energy of formation: 0.031 eV per atom
uncorrected energy: -83.24 eV/cell

Cell lengths 9.780, 9.780, 7.036 Å; angles 90.07, 90.07, 59.96 degrees
Fractional coordinates of all 18 atoms:
1 Pm 0.150 0.819 0.000
2 Pm 0.179 0.474 0.998
3 Pm 0.181 0.850 0.500
4 Pm 0.474 0.179 0.498
5 Pm 0.526 0.821 0.502
6 Pm 0.819 0.150 0.500
7 Pm 0.821 0.526 0.002
8 Pm 0.850 0.181 0.000
9 Dy 0.152 0.528 0.499
10 Dy 0.472 0.848 0.001
11 Dy 0.528 0.152 0.999
12 Dy 0.848 0.472 0.501
13 Er 0.169 0.171 0.748
14 Er 0.171 0.169 0.248
15 Er 0.499 0.501 0.750
16 Er 0.501 0.499 0.250
17 Er 0.829 0.831 0.752
18 Er 0.831 0.829 0.252

---

# 3
The following is a DFT calculation (GGA-PBE) of a relaxed structure of CePr3.

relative energy among the computed polymorphs: 0.0000 eV/atom
energy of formation: 0.085 eV per atom
uncorrected energy: -19.93 eV/cell

Cell lengths 5.176, 5.176, 5.176 Å; angles 90.00, 90.00, 90.00 degrees
Fractional coordinates of all 4 atoms:
1 Ce 0.000 0.000 0.000
2 Pr 0.000 0.500 0.500
3 Pr 0.500 0.000 0.500
4 Pr 0.500 0.500 0.000

---

# 4
The following is a DFT calculation (GGA-PBE) of a relaxed structure of InTcCl2.

uncorrected formation energy: 0.2739 eV/atom
relative energy among the computed polymorphs: 0.5561 eV/atom
uncorrected energy: -15.70 eV/cell

Cell lengths 3.231, 4.530, 5.730 Å; angles 90.00, 90.00, 90.00 degrees
Fractional coordinates of all 4 atoms:
1 In 0.000 0.000 0.000
2 Tc 0.500 0.000 0.500
3 Cl 0.000 0.500 0.500
4 Cl 0.500 0.500 0.000

---

# 5
The following is a DFT calculation (GGA-PBE) of a relaxed structure of CsMgAg3.

energy of formation: 1.220 eV per atom
uncorrected energy: -4.90 eV/cell

Cell lengths 6.136, 6.136, 6.136 Å; angles 90.00, 90.00, 90.00 degrees
Fractional coordinates of all 5 atoms:
1 Cs 0.000 0.000 0.000
2 Mg 0.500 0.500 0.500
3 Ag 0.000 0.000 0.500
4 Ag 0.000 0.500 0.000
5 Ag 0.500 0.000 0.000

---

# 6
The following is a DFT calculation (GGA-PBE) of a relaxed structure of Rb3NaH6Pd2.

uncorrected energy: -35.18 eV/cell

Cell lengths 6.168, 6.168, 7.433 Å; angles 90.00, 90.00, 120.00 degrees
Fractional coordinates of all 12 atoms:
1 Rb 0.000 0.000 0.000
2 Rb 0.333 0.667 0.708
3 Rb 0.667 0.333 0.292
4 Na 0.000 0.000 0.500
5 H 0.174 0.348 0.291
6 H 0.174 0.826 0.291
7 H 0.348 0.174 0.709
8 H 0.652 0.826 0.291
9 H 0.826 0.174 0.709
10 H 0.826 0.652 0.709
11 Pd 0.333 0.667 0.264
12 Pd 0.667 0.333 0.736

---

# 7
The following is a DFT calculation (GGA-PBE) of a relaxed structure of PuZrAl4.

energy of formation: -0.360 eV per atom
uncorrected energy: -40.01 eV/cell

Cell lengths 5.439, 5.439, 5.439 Å; angles 60.00, 60.00, 60.00 degrees
Fractional coordinates of all 6 atoms:
1 Pu 0.000 0.000 0.000
2 Zr 0.750 0.750 0.750
3 Al 0.375 0.375 0.375
4 Al 0.375 0.375 0.875
5 Al 0.375 0.875 0.375
6 Al 0.875 0.375 0.375

---

# 8
The following is a DFT calculation (GGA-PBE) of a relaxed structure of SbPb2Au.

uncorrected formation energy: 0.0652 eV/atom
uncorrected energy: -14.56 eV/cell

Cell lengths 5.157, 5.157, 4.175 Å; angles 90.36, 90.36, 99.99 degrees
Fractional coordinates of all 4 atoms:
1 Sb 0.000 0.000 0.000
2 Pb 0.000 0.500 0.500
3 Pb 0.500 0.000 0.500
4 Au 0.500 0.500 0.000

---

The records above give, respectively, N(E_F) values of 0.58, 1.35, 2.37, 0.66, 0.71, 0.51, 2.75, 0.53 states/eV per atom.